## InCu2P (GGA-PBE)

Data for an optimized crystal structure of InCu2P.

Unit cell a=3.8980 b=3.8980 c=6.0535 alpha=71.70 beta=71.70 gamma=59.82
Element x y z (fractional)
Cu 0.9454 0.9454 0.1618
Cu 0.6786 0.6786 0.9606
In 0.5166 0.5166 0.4581
P 0.3594 0.3594 0.9195

Output
Calculated total energy in eV per atom: -4.038
Crystal system: monoclinic

=====

## In3CuP (GGA-PBE)

Data for an optimized crystal structure of In3CuP.

Unit cell a=5.0071 b=5.0071 c=5.0071 alpha=90.00 beta=90.00 gamma=90.00
Element x y z (fractional)
P 0.5000 0.5000 0.5000
Cu 0.0000 0.0000 0.0000
In 0.0000 0.5000 0.0000
In 0.0000 0.0000 0.5000
In 0.5000 0.0000 0.0000

Output
Calculated total energy in eV per atom: -3.146
Energy above the most stable polymorph in this dataset in meV per atom: 0.0
Crystal system: cubic

=====

## InCu2P (GGA-PBE)

Data for an optimized crystal structure of InCu2P.

Unit cell a=5.9873 b=5.9873 c=5.9873 alpha=37.63 beta=37.63 gamma=37.63
Element x y z (fractional)
Cu 0.0158 0.0158 0.0158
Cu 0.2806 0.2806 0.2806
In 0.5051 0.5051 0.5051
P 0.6985 0.6985 0.6985

Output
Calculated total energy in eV per atom: -3.977
Crystal system: trigonal

=====

## In2CuP (GGA-PBE)

Data for an optimized crystal structure of In2CuP.

Unit cell a=4.1490 b=5.1609 c=3.7548 alpha=90.00 beta=90.00 gamma=90.00
Element x y z (fractional)
Cu 0.0000 0.5000 0.5000
In 0.0000 0.0000 0.0000
In 0.5000 0.5000 0.0000
P 0.5000 0.0000 0.5000

Output
Calculated total energy in eV per atom: -3.451
Crystal system: orthorhombic

=====

## In2CuP (GGA-PBE)

Data for an optimized crystal structure of In2CuP.

Unit cell a=6.6078 b=6.6078 c=6.5980 alpha=59.95 beta=59.95 gamma=90.00
Element x y z (fractional)
P 0.5000 0.5000 0.0000
P 0.2500 0.7500 0.5000
Cu 0.0000 0.0000 0.0000
Cu 0.7500 0.2500 0.5000
In 0.6198 0.1250 0.2500
In 0.1302 0.6250 0.2500
In 0.3750 0.3802 0.7500
In 0.8750 0.8698 0.7500

Output
Calculated total energy in eV per atom: -3.510
Crystal system: tetragonal

=====

## In2CuP (GGA-PBE)

Data for an optimized crystal structure of In2CuP.

Unit cell a=3.2822 b=3.2822 c=7.9681 alpha=90.00 beta=90.00 gamma=93.30
Element x y z (fractional)
Cu 0.5000 0.5000 0.6664
In 0.0000 0.0000 0.9482
In 0.5000 0.5000 0.3008
P 0.0000 0.0000 0.5846

Output
Calculated total energy in eV per atom: -3.585
Crystal system: orthorhombic

=====

## InCu2P (GGA-PBE)

Data for an optimized crystal structure of InCu2P.

Unit cell a=3.3394 b=3.3394 c=5.7616 alpha=90.00 beta=90.00 gamma=90.00
Element x y z (fractional)
Cu 0.0000 0.0000 0.9644
Cu 0.5000 0.5000 0.2207
In 0.0000 0.0000 0.4868
P 0.5000 0.5000 0.8281

Output
Calculated total energy in eV per atom: -3.917
Crystal system: tetragonal

=====

## InCu2P (GGA-PBE)

Data for an optimized crystal structure of InCu2P.

Unit cell a=6.2875 b=4.7279 c=2.9454 alpha=89.82 beta=62.37 gamma=121.36
Element x y z (fractional)
Cu 0.0000 0.0000 0.0000
Cu 0.5000 0.0000 0.5000
In 0.0000 0.5000 0.5000
P 0.5000 0.5000 0.0000

Output
Calculated total energy in eV per atom: -3.799
Crystal system: monoclinic

=====

## InCu2P (GGA-PBE)

Data for an optimized crystal structure of InCu2P.

Unit cell a=3.9027 b=3.7384 c=4.8229 alpha=89.82 beta=90.00 gamma=90.00
Element x y z (fractional)
Cu 0.0000 0.7562 0.0021
Cu 0.0000 0.7438 0.4979
In 0.5000 0.2500 0.2500
P 0.5000 0.7500 0.7500

Output
Calculated total energy in eV per atom: -3.949
Crystal system: monoclinic

=====

## InCu2P (GGA-PBE)

Data for an optimized crystal structure of InCu2P.

Unit cell a=4.5471 b=4.5471 c=8.0145 alpha=73.52 beta=73.52 gamma=90.00
Element x y z (fractional)
P 0.5000 0.5000 0.0000
P 0.2500 0.7500 0.5000
Cu 0.5054 0.1250 0.2500
Cu 0.2446 0.6250 0.2500
Cu 0.3750 0.4946 0.7500
Cu 0.8750 0.7554 0.7500
In 0.0000 0.0000 0.0000
In 0.7500 0.2500 0.5000

Output
Calculated total energy in eV per atom: -4.000
Crystal system: tetragonal

=====

## In2CuP (GGA-PBE)

Data for an optimized crystal structure of In2CuP.

Unit cell a=3.9339 b=3.9339 c=6.6595 alpha=73.01 beta=73.01 gamma=59.75
Element x y z (fractional)
Cu 0.2500 0.2500 0.2500
In 0.0002 0.0002 0.9997
In 0.4998 0.4998 0.5003
P 0.7500 0.7500 0.7500

Output
Calculated total energy in eV per atom: -3.603
Crystal system: monoclinic

=====

## InCu2P (GGA-PBE)

Data for an optimized crystal structure of InCu2P.

Unit cell a=4.4838 b=4.4838 c=4.4838 alpha=60.00 beta=60.00 gamma=60.00
Element x y z (fractional)
P 0.0000 0.0000 0.0000
Cu 0.2500 0.2500 0.2500
Cu 0.7500 0.7500 0.7500
In 0.5000 0.5000 0.5000

Output
Calculated total energy in eV per atom: -3.788
Crystal system: cubic

=====

## In2CuP (GGA-PBE)

Data for an optimized crystal structure of In2CuP.

Unit cell a=3.5866 b=2.8543 c=7.7305 alpha=89.99 beta=90.00 gamma=90.00
Element x y z (fractional)
Cu 0.5000 0.7500 0.7500
In 0.0000 0.2495 0.9796
In 0.0000 0.2505 0.5204
P 0.5000 0.2500 0.2500

Output
Calculated total energy in eV per atom: -3.537
Crystal system: orthorhombic

=====

## In3CuP (GGA-PBE)

Data for an optimized crystal structure of In3CuP.

Unit cell a=5.2289 b=5.2289 c=5.2289 alpha=90.00 beta=90.00 gamma=90.00
Element x y z (fractional)
P 0.0000 0.0000 0.0000
Cu 0.5000 0.5000 0.5000
In 0.0000 0.5000 0.0000
In 0.0000 0.0000 0.5000
In 0.5000 0.0000 0.0000

Output
Calculated total energy in eV per atom: -2.946
Energy above the most stable polymorph in this dataset in meV per atom: 200.1
Crystal system: cubic

=====

## InCu2P (GGA-PBE)

Data for an optimized crystal structure of InCu2P.

Unit cell a=3.9618 b=3.9618 c=6.2480 alpha=75.64 beta=75.64 gamma=45.41
Element x y z (fractional)
Cu 0.9961 0.9961 0.0745
Cu 0.5039 0.5039 0.4255
In 0.7500 0.7500 0.7500
P 0.2500 0.2500 0.2500

Output
Calculated total energy in eV per atom: -3.970
Crystal system: monoclinic

=====

## InCu3P (GGA-PBE)

Data for an optimized crystal structure of InCu3P.

Unit cell a=4.7667 b=4.7667 c=4.7667 alpha=90.00 beta=90.00 gamma=90.00
Element x y z (fractional)
P 0.5000 0.5000 0.5000
Cu 0.0000 0.5000 0.0000
Cu 0.0000 0.0000 0.5000
Cu 0.5000 0.0000 0.0000
In 0.0000 0.0000 0.0000

Output
Calculated total energy in eV per atom: -2.871
Energy above the most stable polymorph in this dataset in meV per atom: 1051.5
Crystal system: cubic

=====

## InCuP3 (GGA-PBE)

Data for an optimized crystal structure of InCuP3.

Unit cell a=4.5758 b=4.5758 c=4.5758 alpha=90.00 beta=90.00 gamma=90.00
Element x y z (fractional)
P 0.0000 0.5000 0.0000
P 0.0000 0.0000 0.5000
P 0.5000 0.0000 0.0000
Cu 0.0000 0.0000 0.0000
In 0.5000 0.5000 0.5000

Output
Calculated total energy in eV per atom: -3.884
Energy above the most stable polymorph in this dataset in meV per atom: 0.0
Crystal system: cubic

=====

## InCu2P (GGA-PBE)

Data for an optimized crystal structure of InCu2P.

Unit cell a=6.3997 b=6.3997 c=6.3997 alpha=151.92 beta=146.87 gamma=43.97
Element x y z (fractional)
Cu 0.0767 0.0767 0.0000
Cu 0.7422 0.2422 0.5000
In 0.4512 0.4512 0.0000
P 0.2299 0.7299 0.5000

Output
Calculated total energy in eV per atom: -3.975
Crystal system: orthorhombic

=====

## InCu2P (GGA-PBE)

Data for an optimized crystal structure of InCu2P.

Unit cell a=4.0986 b=4.1895 c=4.7969 alpha=107.66 beta=90.00 gamma=90.00
Element x y z (fractional)
Cu 0.0000 0.9299 0.0765
Cu 0.5000 0.2964 0.0660
In 0.0000 0.5457 0.4726
P 0.5000 0.7280 0.8849

Output
Calculated total energy in eV per atom: -4.006
Crystal system: monoclinic

=====

## In2CuP (GGA-PBE)

Data for an optimized crystal structure of In2CuP.

Unit cell a=3.1505 b=3.1505 c=7.9942 alpha=90.00 beta=90.00 gamma=98.66
Element x y z (fractional)
Cu 0.5000 0.5000 0.7500
In 0.0000 0.0000 0.9871
In 0.0000 0.0000 0.5129
P 0.5000 0.5000 0.2500

Output
Calculated total energy in eV per atom: -3.432
Crystal system: orthorhombic

=====

## InCu2P (GGA-PBE)

Data for an optimized crystal structure of InCu2P.

Unit cell a=4.9786 b=4.9786 c=4.9786 alpha=134.11 beta=134.11 gamma=66.91
Element x y z (fractional)
Cu 0.0000 0.0000 0.0000
Cu 0.2500 0.7500 0.5000
In 0.5000 0.5000 0.0000
P 0.7500 0.2500 0.5000

Output
Calculated total energy in eV per atom: -3.827
Crystal system: tetragonal

=====

## In2CuP (GGA-PBE)

Data for an optimized crystal structure of In2CuP.

Unit cell a=6.4789 b=6.4789 c=6.4789 alpha=145.87 beta=145.37 gamma=49.41
Element x y z (fractional)
Cu 0.3171 0.8171 0.5000
In 0.0211 0.0211 0.0000
In 0.7356 0.2356 0.5000
P 0.4262 0.4262 0.0000

Output
Calculated total energy in eV per atom: -3.634
Crystal system: orthorhombic

=====

## InCu2PRu (GGA-PBE)

Data for an optimized crystal structure of InCu2PRu.

Unit cell a=4.6617 b=4.9947 c=4.6617 alpha=90.00 beta=90.00 gamma=90.00
Element x y z (fractional)
Ru 0.0000 0.5000 0.0000
P 0.5000 0.5000 0.5000
Cu 0.0000 0.0000 0.5000
Cu 0.5000 0.0000 0.0000
In 0.0000 0.0000 0.0000

Output
Calculated total energy in eV per atom: -3.594
Crystal system: tetragonal

=====

## Pa2InCu (GGA-PBE)

Data for an optimized crystal structure of Pa2InCu.

Unit cell a=3.1472 b=3.1472 c=10.5770 alpha=81.44 beta=81.44 gamma=60.00
Element x y z (fractional)
Pa 0.2580 0.2580 0.2261
Pa 0.7420 0.7420 0.7739
Cu 0.0000 0.0000 0.0000
In 0.5000 0.5000 0.5000

Output
Calculated total energy in eV per atom: -6.388
Energy above the most stable polymorph in this dataset in meV per atom: 38.0
Crystal system: trigonal

=====

## PaInCu10 (GGA-PBE)

Data for an optimized crystal structure of PaInCu10.

Unit cell a=4.1165 b=4.9797 c=8.5752 alpha=90.00 beta=90.00 gamma=90.00
Element x y z (fractional)
Pa 0.0000 0.0000 0.0000
In 0.0000 0.5000 0.5000
Cu 0.0000 0.0000 0.3408
Cu 0.0000 0.5000 0.8237
Cu 0.0000 0.5000 0.1763
Cu 0.0000 0.0000 0.6592
Cu 0.5000 0.0000 0.5000
Cu 0.5000 0.5000 0.0000
Cu 0.5000 0.2447 0.2456
Cu 0.5000 0.7553 0.7544
Cu 0.5000 0.7553 0.2456
Cu 0.5000 0.2447 0.7544

Output
Calculated total energy in eV per atom: -4.407
Crystal system: orthorhombic

=====

## Pa3InCu4 (GGA-PBE)

Data for an optimized crystal structure of Pa3InCu4.

Unit cell a=4.3318 b=4.9038 c=8.6411 alpha=63.10 beta=104.52 gamma=90.00
Element x y z (fractional)
Pa 0.0000 0.5000 0.0000
Pa 0.8442 0.2063 0.6885
Pa 0.1558 0.7937 0.3115
Cu 0.6331 0.3406 0.2661
Cu 0.3669 0.6594 0.7339
Cu 0.2313 0.1799 0.4625
Cu 0.7687 0.8201 0.5375
In 0.5000 0.0000 0.0000

Output
Calculated total energy in eV per atom: -5.864
Crystal system: monoclinic

=====

## PaInCu (GGA-PBE)

Data for an optimized crystal structure of PaInCu.

Unit cell a=3.1454 b=3.1454 c=12.2174 alpha=90.00 beta=90.00 gamma=90.00
Element x y z (fractional)
Pa 0.0000 0.5000 0.6028
Pa 0.5000 0.0000 0.3972
In 0.0000 0.5000 0.1882
In 0.5000 0.0000 0.8118
Cu 0.5000 0.0000 0.0494
Cu 0.0000 0.5000 0.9506

Output
Calculated total energy in eV per atom: -5.428
Crystal system: tetragonal

=====

## PaIn3Cu8 (GGA-PBE)

Data for an optimized crystal structure of PaIn3Cu8.

Unit cell a=5.0761 b=5.0761 c=9.0122 alpha=73.64 beta=73.64 gamma=60.00
Element x y z (fractional)
Pa 0.8761 0.8761 0.3716
In 0.3748 0.3748 0.8756
In 0.0020 0.0020 0.9940
In 0.4943 0.4943 0.5170
Cu 0.9393 0.4393 0.1820
Cu 0.4358 0.9368 0.6906
Cu 0.4393 0.4393 0.1820
Cu 0.9368 0.9368 0.6906
Cu 0.1874 0.1874 0.4379
Cu 0.6879 0.6879 0.9362
Cu 0.4393 0.9393 0.1820
Cu 0.9368 0.4358 0.6906

Output
Calculated total energy in eV per atom: -4.226
Crystal system: trigonal